Entry 1:
Tc2AgIr GGA-PBEsol relaxed; energy above the most stable polymorph in this dataset = 0.82 eV/f.u.
1.0
2.7917 0.0000 0.0000
0.0000 4.5094 0.0000
0.0000 0.0000 4.6691
Ir Ag Tc
1 1 2
Cartesian
0.0000 2.2547 2.3346
1.3958 0.0000 2.3346
0.0000 0.0000 0.0000
1.3958 2.2547 0.0000

=====

Entry 2:
V5Si3N GGA-PBEsol relaxed; calculated total energy = -162.91 eV/cell
1.0
-1.9733 4.4805 -0.4097
-4.9256 -1.7402 4.6922
6.0430 2.8580 2.1494
V Si N
10 6 2
Cartesian
1.4002 3.5655 2.7922
0.3695 1.9832 5.1803
2.3868 1.3253 2.9970
-1.2253 3.6151 1.2517
3.1861 5.5671 1.3524
-5.2832 2.0167 3.3157
-1.2694 -0.2075 3.8446
0.8837 1.7714 0.3874
-1.6157 0.7236 0.9668
-2.2560 2.0328 3.6398
-3.4950 2.6484 1.6123
0.9922 4.5295 0.5720
3.0776 2.8090 1.1677
-0.0362 1.5774 2.6964
-0.8196 4.0209 3.7355
-3.4039 0.0918 2.6703
-0.9866 2.2402 -0.2049
0.0000 0.0000 0.0000

=====

Entry 3:
K3NaTa GGA-PBEsol relaxed; calculated total energy = -9.68 eV/cell
1.0
-0.2278 -1.3776 6.1435
4.8158 -3.9981 -0.7180
4.0556 4.6701 1.1976
Na K Ta
1 3 1
Cartesian
0.0000 0.0000 0.0000
2.4079 -1.9990 -0.3590
-0.1139 -0.6888 3.0717
2.0278 2.3350 0.5988
4.3218 -0.3528 3.3115

=====

| no. | mass density (g/cm3) | total magnetic moment (μB per cell) |
| --- | --- | --- |
| 1 | 14.015 | 0.00 |
| 2 | 5.588 | 0.00 |
| 3 | 2.133 | 4.81 |